CsLiCaCl4 | GGA-PBE | optimized geometry

Calculated values
As for the uncorrected formation energy: -2.104 eV per atom.

Structure (POSCAR):
```
CsLiCaCl4
1.0
-1.6156 -1.1990 6.4120
6.7936 0.6652 1.8361
-0.3923 9.2394 -1.8957
Cl Ca Cs Li
8 2 2 2
direct
0.5677 0.2500 0.8234
0.5216 0.2500 0.4272
0.9834 0.5013 0.3072
0.0166 0.4987 0.6928
0.9834 0.9987 0.3072
0.0166 0.0013 0.6928
0.4784 0.7500 0.5728
0.4323 0.7500 0.1766
0.7890 0.7500 0.4533
0.2110 0.2500 0.5467
0.2689 0.2500 0.0583
0.7311 0.7500 0.9417
0.2309 0.7500 0.3326
0.7691 0.2500 0.6674
```

---

Cs2LiCaCl5 | GGA-PBE | optimized geometry

Calculated values
As for the uncorrected formation energy: -2.095 eV per atom.

Structure (POSCAR):
```
Cs2LiCaCl5
1.0
-0.2761 2.7569 3.2821
-7.1542 -6.8964 2.3805
9.6340 -7.5309 7.1361
Cl Ca Li Cs
10 2 2 4
direct
0.9336 0.8672 0.5233
0.3382 0.6763 0.0028
0.7088 0.4176 0.1468
0.4936 0.9871 0.3008
0.6874 0.3747 0.8907
0.6619 0.3237 0.5028
0.3126 0.6253 0.3907
0.5064 0.0129 0.8008
0.0664 0.1328 0.0233
0.2912 0.5824 0.6468
0.7955 0.5910 0.5194
0.2045 0.4090 0.0194
0.5668 0.1336 0.9413
0.4332 0.8664 0.4413
0.8880 0.7760 0.1826
0.1120 0.2240 0.6826
0.8730 0.7459 0.8161
0.1270 0.2541 0.3161
```

---

Cs3Ca2MgCl9 | GGA-PBE | optimized geometry

Calculated values
As for the uncorrected formation energy: -2.166 eV per atom.

Structure (POSCAR):
```
Cs3Ca2MgCl9
1.0
-1.1922 4.8123 -5.7043
-2.1547 -7.2165 -0.6311
-8.2833 2.1623 3.5553
Cl Ca Cs Mg
9 2 3 1
direct
0.0000 0.5000 0.0000
0.5000 0.0000 0.0000
0.5000 0.5000 0.0000
0.1594 0.8406 0.3422
0.3189 0.1594 0.6578
0.6811 0.8406 0.3422
0.8406 0.6811 0.6578
0.1594 0.3189 0.3422
0.8406 0.1594 0.6578
0.6667 0.3333 0.8239
0.3333 0.6667 0.1761
0.6667 0.3333 0.3331
0.0000 0.0000 0.0000
0.3333 0.6667 0.6669
0.0000 0.0000 0.5000
```

---

Cs4CaMg3Cl12 | GGA-PBE | optimized geometry

Calculated values
As for the uncorrected formation energy: -2.012 eV per atom.

Structure (POSCAR):
```
Cs4CaMg3Cl12
1.0
-3.6531 -0.6927 8.2305
-1.1075 -7.7807 -4.4498
8.8166 1.8039 0.7616
Cl Ca Cs Mg
12 1 4 3
direct
0.0000 0.7390 0.7390
0.2500 0.5000 0.7500
0.2500 0.7500 0.5000
0.5000 0.7500 0.2500
0.0000 0.2610 0.2610
0.7500 0.5000 0.2500
0.7390 0.0000 0.7390
0.5000 0.2500 0.7500
0.2610 0.0000 0.2610
0.7500 0.2500 0.5000
0.7390 0.7390 0.0000
0.2610 0.2610 0.0000
0.0000 0.0000 0.0000
0.0000 0.0000 0.5000
0.0000 0.5000 0.0000
0.5000 0.0000 0.0000
0.5000 0.5000 0.5000
0.5000 0.0000 0.5000
0.0000 0.5000 0.5000
0.5000 0.5000 0.0000
```

---

Cs4CaMn3Cl12 | GGA-PBE | optimized geometry

Calculated values
As for the uncorrected formation energy: -1.673 eV per atom.

Structure (POSCAR):
```
Cs4CaMn3Cl12
1.0
-3.2030 -5.2082 6.6808
8.9580 -1.1405 -0.6866
-1.8069 8.6869 1.8137
Cl Mn Cs Ca
12 3 4 1
direct
0.7396 0.0000 0.7396
0.2500 0.5000 0.7500
0.5000 0.2500 0.7500
0.7500 0.5000 0.2500
0.2500 0.7500 0.5000
0.7500 0.2500 0.5000
0.2604 0.0000 0.2604
0.5000 0.7500 0.2500
0.2604 0.2604 0.0000
0.0000 0.2604 0.2604
0.0000 0.7396 0.7396
0.7396 0.7396 0.0000
0.5000 0.5000 0.0000
0.0000 0.5000 0.5000
0.5000 0.0000 0.5000
0.0000 0.0000 0.5000
0.5000 0.5000 0.5000
0.5000 0.0000 0.0000
0.0000 0.5000 0.0000
0.0000 0.0000 0.0000
```

---

CsCa2MnCl8 | GGA-PBE | optimized geometry

Calculated values
As for the uncorrected formation energy: -1.769 eV per atom.

Structure (POSCAR):
```
CsCa2MnCl8
1.0
-4.3537 -3.0488 -3.8937
0.6074 -5.7247 3.0749
-6.6258 1.4526 5.4057
Cl Mn Ca Cs
8 1 2 1
direct
0.5957 0.7216 0.4860
0.3151 0.2908 0.0170
0.1968 0.8300 0.8213
0.8032 0.1700 0.1787
0.1363 0.7720 0.1860
0.4043 0.2784 0.5140
0.8637 0.2280 0.8140
0.6849 0.7092 0.9830
0.0000 0.0000 0.0000
0.5016 0.4947 0.7638
0.4984 0.5053 0.2362
0.0000 0.0000 0.5000
```

---

Cs3CaMn2Cl9 | GGA-PBE | optimized geometry

Calculated values
As for the uncorrected formation energy: -1.743 eV per atom.

Structure (POSCAR):
```
Cs3CaMn2Cl9
1.0
-1.4164 -7.2720 0.4908
2.3032 2.9078 -6.4319
8.6466 -1.5216 2.4084
Cl Mn Ca Cs
9 2 1 3
direct
0.1729 0.3458 0.3245
0.8271 0.1729 0.6755
0.5000 0.0000 0.0000
0.5000 0.5000 0.0000
0.8271 0.6542 0.6755
0.0000 0.5000 0.0000
0.3458 0.1729 0.6755
0.1729 0.8271 0.3245
0.6542 0.8271 0.3245
0.3333 0.6667 0.1606
0.6667 0.3333 0.8394
0.0000 0.0000 0.5000
0.3333 0.6667 0.6709
0.0000 0.0000 0.0000
0.6667 0.3333 0.3291
```

---

CsCaMn2Cl8 | GGA-PBE | optimized geometry

Calculated values
As for the uncorrected formation energy: -1.501 eV per atom.

Structure (POSCAR):
```
CsCaMn2Cl8
1.0
6.7360 0.0000 0.0000
-3.3680 5.8336 0.0000
0.0000 0.0000 9.7846
Cl Cs Mn Ca
8 1 2 1
direct
0.3206 0.9911 0.6718
0.6667 0.3333 0.0388
0.0089 0.3294 0.6718
0.6706 0.6794 0.6718
0.3333 0.6667 0.9612
0.6794 0.0089 0.3282
0.9911 0.6706 0.3282
0.3294 0.3206 0.3282
0.0000 0.0000 0.0000
0.6667 0.3333 0.2662
0.3333 0.6667 0.7338
0.0000 0.0000 0.5000
```

---

Cs2CaMnCl6 | GGA-PBE | optimized geometry

Calculated values
As for the uncorrected formation energy: -1.881 eV per atom.

Structure (POSCAR):
```
Cs2CaMnCl6
1.0
-3.7377 6.0590 2.3487
-6.4982 -3.4709 -1.3872
-5.1418 -0.6348 5.4187
Cl Cs Ca Mn
6 2 1 1
direct
0.2412 0.2412 0.5177
0.7588 0.7588 0.4823
0.7588 0.2412 0.0000
0.2412 0.7588 0.0000
0.2412 0.2412 0.0000
0.7588 0.7588 0.0000
0.2500 0.7500 0.5000
0.7500 0.2500 0.5000
0.5000 0.5000 0.0000
0.0000 0.0000 0.0000
```

---

Cs2CaMoCl6 | GGA-PBE | optimized geometry

Calculated values
As for the uncorrected formation energy: -1.587 eV per atom.

Structure (POSCAR):
```
Cs2CaMoCl6
1.0
7.4308 0.0000 0.0000
0.0000 7.4308 0.0000
3.7154 3.7154 5.2544
Mo Cl Ca Cs
1 6 1 2
direct
0.0000 0.0000 0.0000
0.2396 0.2396 0.0000
0.2396 0.7604 0.0000
0.7604 0.7604 0.4791
0.7604 0.2396 0.0000
0.7604 0.7604 0.0000
0.2396 0.2396 0.5209
0.5000 0.5000 0.0000
0.7500 0.2500 0.5000
0.2500 0.7500 0.5000
```

---

Cs2NaCaCl6 | GGA-PBE | optimized geometry

Calculated values
As for the uncorrected formation energy: -1.817 eV per atom.

Structure (POSCAR):
```
Cs2NaCaCl6
1.0
-2.5365 -6.5716 -3.2495
5.0128 -4.7996 -3.4662
1.6983 -6.8386 3.2447
Na Cs Cl Ca
1 2 6 1
direct
0.5000 0.5000 0.5000
0.7500 0.7500 0.7500
0.2500 0.2500 0.2500
0.7525 0.7525 0.2475
0.2475 0.7525 0.7525
0.7525 0.2475 0.7525
0.2475 0.2475 0.7525
0.2475 0.7525 0.2475
0.7525 0.2475 0.2475
0.0000 0.0000 0.0000
```

---

CsNa3Ca4Cl12 | GGA-PBE | optimized geometry

Calculated values
As for the uncorrected formation energy: -2.176 eV per atom.

Structure (POSCAR):
```
CsNa3Ca4Cl12
1.0
9.0224 0.0000 0.0000
-3.0075 8.5064 0.0000
-3.0075 -4.2532 7.3668
Cl Na Ca Cs
12 3 4 1
direct
0.5097 0.6943 0.8154
0.6943 0.8154 0.5097
0.1846 0.4903 0.3057
0.3057 0.8154 0.1211
0.8789 0.6943 0.1846
0.1846 0.8789 0.6943
0.3057 0.1846 0.4903
0.1211 0.3057 0.8154
0.4903 0.3057 0.1846
0.8154 0.1211 0.3057
0.8154 0.5097 0.6943
0.6943 0.1846 0.8789
0.5000 0.5000 0.0000
0.5000 0.0000 0.5000
0.0000 0.5000 0.5000
0.0000 0.5000 0.0000
0.5000 0.5000 0.5000
0.0000 0.0000 0.5000
0.5000 0.0000 0.0000
0.0000 0.0000 0.0000
```